# 1
## TbGeBi (PBE-GGA)

Data for a relaxed TbGeBi crystal.

Results
For the energy above the lowest structure with this stoichiometry, the calculation gives 321 meV per atom. The formation energy is -0.266 eV per atom. The calculation puts the raw total energy at -4.642 eV/atom.

Cell lengths 5.0530, 5.0530, 24.0921 Å; angles 90.00, 90.00, 120.00 degrees
Last column: nearest neighbours and their distance in Å.
Space group R-3m (No. 166, hexagonal axes)
Symmetry-distinct sites (fractional):
Tb: 0.0000 0.0000 0.2245 [6 per cell]  4 Ge 2.89-2.92
Ge: 0.0000 0.0000 0.1044 [6 per cell]  4 Tb 2.89-2.92
Bi: 0.0000 0.0000 0.3678 [6 per cell]  3 Bi 3.36, 3 Ge 3.37, 4 Tb 3.42-3.45


# 2
## TbGeBi2 (PBE-GGA)

Data for a relaxed TbGeBi2 crystal.

Results
The formation energy is -0.288 eV per atom. The calculation puts the raw total energy at -4.540 eV/atom.

Cell lengths 4.8156, 4.8156, 4.7018 Å; angles 90.00, 90.00, 90.00 degrees
Last column: nearest neighbours and their distance in Å.
Space group P4/mmm (No. 123)
Symmetry-distinct sites (fractional):
Tb: 0.0000 0.0000 0.0000 [1 per cell]  8 Bi 3.37, 4 Ge 3.41
Ge: 0.5000 0.5000 0.0000 [1 per cell]  8 Bi 3.37, 4 Tb 3.41
Bi: 0.0000 0.5000 0.5000 [2 per cell]  4 Ge 3.37, 4 Tb 3.37, 4 Bi 3.41


# 3
## Tb5GeBi2 (PBE-GGA)

Data for a relaxed Tb5GeBi2 crystal.

Results
The formation energy is -0.400 eV per atom. The calculation puts the raw total energy at -4.842 eV/atom.

Cell lengths 5.9442, 9.8681, 16.4047 Å; angles 90.00, 90.00, 90.00 degrees
Last column: nearest neighbours and their distance in Å.
Space group Cmcm (No. 63)
Symmetry-distinct sites (fractional):
Tb: 0.0000 0.0788 0.1052 [8 per cell]  1 Ge 2.86
Tb: 0.0000 0.2496 0.7500 [4 per cell]  2 Ge 2.97, 2 Bi 3.07
Tb: 0.0000 0.4175 0.1095 [8 per cell]  1 Ge 2.89
Ge: 0.0000 0.2405 0.2500 [4 per cell]  6 Tb 2.86-2.97
Bi: 0.0000 0.2544 0.5630 [8 per cell]  5 Tb 3.07-3.36